YFeTe (PBE, optimized geometry); electronic total energy = -6.500 eV/atom; energy relative to the elements, uncorrected = -0.48 eV/atom
1.0
4.347 0.000 0.000
-2.173 3.764 0.000
0.000 0.000 3.895
Y Fe Te
1 1 1
Cartesian
0.000 0.000 0.000
0.000 2.510 1.932
2.173 1.255 1.943